Entry 1:
Ce2NiF11, optimized geometry, DFT GGA+U; V = 473.8 Å³ per cell; raw total energy = -0.2037 Ha/atom; magnetization = 3.0 μB/f.u.
1.0
7.8413 0.0000 4.0872
3.7400 7.3098 2.3903
0.5400 -0.3011 8.5294
Ce Ni F
4 2 22
Direct
0.6121 0.6976 0.3024
0.3879 0.3024 0.6976
0.8879 0.1976 0.8024
0.1121 0.8024 0.1976
0.7500 0.7500 0.7500
0.2500 0.2500 0.2500
0.5077 0.7982 0.5486
0.4923 0.2018 0.4514
0.1455 0.5486 0.7982
0.9923 0.9514 0.7018
0.8545 0.4514 0.2018
0.0077 0.0486 0.2982
0.3545 0.7018 0.9514
0.6455 0.2982 0.0486
0.5000 0.5000 0.5000
0.0000 0.0000 0.0000
0.8630 0.7568 0.2432
0.1370 0.2432 0.7568
0.6370 0.2568 0.7432
0.3630 0.7432 0.2568
0.4543 0.0295 0.2455
0.5457 0.9705 0.7545
0.2707 0.2455 0.0295
0.0457 0.2545 0.4705
0.7293 0.7545 0.9705
0.9543 0.7455 0.5295
0.2293 0.4705 0.2545
0.7707 0.5295 0.7455

Entry 2:
RbCeNiF6, optimized geometry, DFT GGA+U; V = 350.9 Å³ per cell; raw total energy = -0.1981 Ha/atom; magnetization = 3.0 μB/f.u.
1.0
-3.2214 -4.6360 -1.7254
3.0814 -0.2545 5.0286
-9.1501 4.1924 5.8191
Rb Ce Ni F
2 2 2 12
Direct
0.0000 0.0000 0.0000
0.0000 0.0000 0.5000
0.3333 0.6667 0.2500
0.6667 0.3333 0.7500
0.6667 0.3333 0.2500
0.3333 0.6667 0.7500
0.9662 0.3584 0.1518
0.3921 0.0338 0.1518
0.0338 0.3921 0.6518
0.6079 0.9662 0.8482
0.6416 0.0338 0.3482
0.3921 0.3584 0.3482
0.3584 0.3921 0.8482
0.9662 0.6079 0.3482
0.6079 0.6416 0.6518
0.6416 0.6079 0.1518
0.3584 0.9662 0.6518
0.0338 0.6416 0.8482